Entry 1:
A plane-wave DFT calculation with PBE was carried out for LiNiH2 after structural relaxation.

```
LiNiH2
1.0
2.456 0.000 0.000
0.000 2.456 0.000
0.000 0.000 4.743
Li Ni H
1 1 2
Direct
0.000 0.000 0.000
0.000 0.000 0.500
0.500 0.500 0.296
0.500 0.500 0.704
```

Output
crystal system	tetragonal
energy relative to the lowest polymorph listed for this composition	355.9	meV/atom
calculated density	3.93	g cm⁻³
M_tot	0.0	μB per formula unit
space-group type	No. 123

***

Entry 2:
A plane-wave DFT calculation with PBE was carried out for LiNi2H7 after structural relaxation.

```
LiNi2H7
1.0
2.438 -4.144 0.000
2.438 4.144 0.000
0.000 0.000 3.243
Li Ni H
1 2 7
Direct
0.000 0.000 0.000
0.304 0.696 0.500
0.696 0.304 0.500
0.043 0.325 0.500
0.321 0.679 0.000
0.325 0.043 0.500
0.500 0.500 0.500
0.675 0.957 0.500
0.679 0.321 0.000
0.957 0.675 0.500
```

Output
crystal system	orthorhombic
DFT total energy	-3.71	eV per atom
calculated density	3.33	g cm⁻³
M_tot	0.0	μB per formula unit
space-group type	No. 65

***

Entry 3:
A plane-wave DFT calculation with PBE was carried out for LiNiH2 after structural relaxation.

```
LiNiH2
1.0
-1.986 2.363 3.915
1.986 -2.363 3.915
1.986 2.363 -3.915
Li Ni H
2 2 4
Direct
0.197 0.197 0.000
0.803 0.803 0.000
0.249 0.500 0.749
0.751 0.500 0.251
0.147 0.647 0.500
0.500 0.233 0.733
0.500 0.767 0.267
0.853 0.353 0.500
```

Output
crystal system	orthorhombic
energy relative to the lowest polymorph listed for this composition	83.0	meV/atom
calculated density	3.06	g cm⁻³
M_tot	0.0	μB per formula unit
space-group type	No. 71

***

Entry 4:
A plane-wave DFT calculation with PBE was carried out for LiNi5H8 after structural relaxation.

```
LiNi5H8
1.0
6.165 -1.308 0.000
6.165 1.308 0.000
-2.697 0.000 6.053
Li Ni H
1 5 8
Direct
0.000 0.000 0.000
0.199 0.199 0.352
0.286 0.286 0.775
0.540 0.540 0.445
0.806 0.806 0.127
0.902 0.902 0.572
0.138 0.138 0.548
0.217 0.217 0.125
0.372 0.372 0.048
0.492 0.492 0.673
0.604 0.604 0.256
0.726 0.726 0.857
0.779 0.779 0.599
0.942 0.942 0.359
```

Output
crystal system	monoclinic
DFT total energy	-4.19	eV per atom
calculated density	5.25	g cm⁻³
M_tot	0.0	μB per formula unit
space-group type	No. 8

***

Entry 5:
A plane-wave DFT calculation with PBE was carried out for Li2NiH after structural relaxation.

```
Li2NiH
1.0
0.000 2.815 2.815
2.815 0.000 2.815
2.815 2.815 0.000
Li Ni H
2 1 1
Direct
0.250 0.250 0.250
0.750 0.750 0.750
0.000 0.000 0.000
0.500 0.500 0.500
```

Output
crystal system	cubic
energy relative to the lowest polymorph listed for this composition	459.2	meV/atom
calculated density	2.74	g cm⁻³
M_tot	0.3	μB per formula unit
space-group type	No. 225

***

Entry 6:
A plane-wave DFT calculation with PBE was carried out for Li4NiH4 after structural relaxation.

```
Li4NiH4
1.0
5.726 0.000 0.000
0.000 5.726 0.000
0.000 0.000 4.701
Li Ni H
8 2 8
Direct
0.032 0.250 0.128
0.250 0.032 0.628
0.250 0.468 0.628
0.468 0.250 0.128
0.532 0.750 0.872
0.750 0.532 0.372
0.750 0.968 0.372
0.968 0.750 0.872
0.250 0.750 0.250
0.750 0.250 0.750
0.018 0.750 0.447
0.250 0.518 0.053
0.250 0.982 0.053
0.482 0.750 0.447
0.518 0.250 0.553
0.750 0.018 0.947
0.750 0.482 0.947
0.982 0.250 0.553
```

Output
crystal system	tetragonal
DFT total energy	-3.28	eV per atom
calculated density	1.95	g cm⁻³
M_tot	0.0	μB per formula unit
space-group type	No. 137

***

Entry 7:
A plane-wave DFT calculation with PBE was carried out for LiNi2H3 after structural relaxation.

```
LiNi2H3
1.0
4.426 0.000 0.000
-2.213 3.833 0.000
0.000 0.000 4.973
Li Ni H
2 4 6
Direct
0.000 0.000 0.250
0.000 0.000 0.750
0.333 0.667 0.000
0.333 0.667 0.500
0.667 0.333 0.000
0.667 0.333 0.500
0.000 0.498 0.250
0.000 0.502 0.750
0.498 0.000 0.250
0.498 0.498 0.750
0.502 0.000 0.750
0.502 0.502 0.250
```

Output
crystal system	hexagonal
energy relative to the lowest polymorph listed for this composition	10.3	meV/atom
calculated density	5.01	g cm⁻³
M_tot	0.0	μB per formula unit
space-group type	No. 193

***

Entry 8:
A plane-wave DFT calculation with PBE was carried out for LiNiH2 after structural relaxation.

```
LiNiH2
1.0
1.343 0.776 4.595
-1.343 0.776 4.595
0.000 -1.551 4.595
Li Ni H
1 1 2
Direct
0.000 0.000 0.000
0.178 0.178 0.178
0.574 0.574 0.574
0.781 0.781 0.781
```

Output
crystal system	trigonal
energy relative to the lowest polymorph listed for this composition	55.9	meV/atom
calculated density	3.91	g cm⁻³
M_tot	0.0	μB per formula unit
space-group type	No. 160

***

Entry 9:
A plane-wave DFT calculation with PBE was carried out for LiNiH2 after structural relaxation.

```
LiNiH2
1.0
-1.995 1.995 3.962
1.995 -1.995 3.962
1.995 1.995 -3.962
Li Ni H
2 2 4
Direct
0.000 0.000 0.000
0.750 0.250 0.500
0.250 0.750 0.500
0.500 0.500 0.000
0.181 0.625 0.056
0.375 0.431 0.556
0.569 0.125 0.944
0.875 0.819 0.444
```

Output
crystal system	tetragonal
energy relative to the lowest polymorph listed for this composition	38.3	meV/atom
calculated density	3.56	g cm⁻³
M_tot	0.0	μB per formula unit
space-group type	No. 122

***

Entry 10:
A plane-wave DFT calculation with PBE was carried out for LiNiH4 after structural relaxation.

```
LiNiH4
1.0
4.565 -2.118 0.000
4.565 2.118 0.000
-0.077 0.000 4.484
Li Ni H
2 2 8
Direct
0.250 0.250 0.227
0.750 0.750 0.773
0.445 0.445 0.739
0.555 0.555 0.261
0.208 0.654 0.444
0.258 0.742 0.000
0.273 0.273 0.782
0.346 0.792 0.556
0.654 0.208 0.444
0.727 0.727 0.218
0.742 0.258 0.000
0.792 0.346 0.556
```

Output
crystal system	monoclinic
energy relative to the lowest polymorph listed for this composition	0.0	meV/atom
calculated density	2.67	g cm⁻³
M_tot	0.0	μB per formula unit
space-group type	No. 12

***

Entry 11:
A plane-wave DFT calculation with PBE was carried out for Li3NiH after structural relaxation.

```
Li3NiH
1.0
3.806 0.000 0.000
0.000 3.806 0.000
0.000 0.000 3.806
Li Ni H
3 1 1
Direct
0.000 0.000 0.500
0.000 0.500 0.000
0.500 0.000 0.000
0.500 0.500 0.500
0.000 0.000 0.000
```

Output
crystal system	cubic
energy relative to the lowest polymorph listed for this composition	0.0	meV/atom
calculated density	2.43	g cm⁻³
M_tot	0.0	μB per formula unit
space-group type	No. 221

***

Entry 12:
A plane-wave DFT calculation with PBE was carried out for LiNiH3 after structural relaxation.

```
LiNiH3
1.0
-1.441 1.441 9.017
1.441 -1.441 9.017
1.441 1.441 -9.017
Li Ni H
2 2 6
Direct
0.000 0.000 0.000
0.750 0.250 0.500
0.135 0.635 0.500
0.365 0.865 0.500
0.300 0.101 0.199
0.315 0.315 0.000
0.685 0.685 0.000
0.899 0.097 0.199
0.899 0.700 0.801
0.903 0.101 0.801
```

Output
crystal system	tetragonal
DFT total energy	-3.49	eV per atom
calculated density	3.05	g cm⁻³
M_tot	0.0	μB per formula unit
space-group type	No. 119